No. 1
A plane-wave DFT calculation with PBE-GGA was carried out for a relaxed structure of LiAg3Te2.

Properties
energy	-3.034	eV per atom
crystal system	monoclinic
energy above the lowest structure with this stoichiometry	0	meV per atom
formation energy from raw total energies	-0.242	eV/atom

abc: 7.878 7.878 11.194
angles: 128.46 128.46 31.46
Fractional coordinates of all 12 atoms:
Li: 0.108 0.108 0.212
Li: 0.892 0.892 0.788
Ag: 0.008 0.008 0.640
Ag: 0.232 0.232 0.080
Ag: 0.337 0.337 0.545
Ag: 0.663 0.663 0.455
Ag: 0.768 0.768 0.920
Ag: 0.992 0.992 0.360
Te: 0.216 0.216 0.675
Te: 0.444 0.444 0.134
Te: 0.556 0.556 0.866
Te: 0.784 0.784 0.325


No. 2
A plane-wave DFT calculation with PBE-GGA was carried out for a relaxed structure of Pm2I3.

Properties
energy	-3.811	eV per atom
crystal system	trigonal
energy above the lowest structure with this stoichiometry	144	meV per atom
formation energy from raw total energies	-0.981	eV/atom

abc: 9.177 9.177 9.177
angles: 46.74 46.74 46.74
Fractional coordinates of all 10 atoms:
Pm: 0.171 0.171 0.171
Pm: 0.329 0.329 0.329
Pm: 0.671 0.671 0.671
Pm: 0.829 0.829 0.829
I: 0.093 0.750 0.407
I: 0.250 0.593 0.907
I: 0.407 0.093 0.750
I: 0.593 0.907 0.250
I: 0.750 0.407 0.093
I: 0.907 0.250 0.593